No. 1
VASP calculation (PBE) on crystalline NiHgMo2 at its relaxed geometry.

electronic total energy = -6.49 eV per atom
DFT formation energy = 10.37 kcal/mol of atoms

Cell: 5.2878 8.7088 2.7397 Å, 90.00 90.21 90.00°
Fractional positions:
Ni1 0.0000 0.0000 0.0000
Ni2 0.5000 0.5000 0.0000
Hg1 0.0000 0.5000 0.0000
Hg2 0.5000 0.0000 0.0000
Mo1 0.2500 0.2500 0.5000
Mo2 0.2500 0.7500 0.5000
Mo3 0.7500 0.2500 0.5000
Mo4 0.7500 0.7500 0.5000

No. 2
VASP calculation (PBE) on crystalline NiHgMo2 at its relaxed geometry.

electronic total energy = -6.52 eV per atom
DFT formation energy = 9.70 kcal/mol of atoms

Cell: 9.2540 2.7294 5.0938 Å, 90.00 98.75 90.00°
Fractional positions:
Ni1 0.0000 0.0000 0.0000
Ni2 0.5000 0.5000 0.0000
Hg1 0.2489 0.0000 0.7595
Hg2 0.7489 0.5000 0.7595
Mo1 0.2277 0.5000 0.2428
Mo2 0.4906 0.0000 0.4691
Mo3 0.7277 0.0000 0.2428
Mo4 0.9906 0.5000 0.4691

No. 3
VASP calculation (PBE) on crystalline NiHgMo2 at its relaxed geometry.

electronic total energy = -6.50 eV per atom
DFT formation energy = 10.06 kcal/mol of atoms

Cell: 3.2929 4.6078 8.4690 Å, 90.00 90.00 90.00°
Fractional positions:
Ni1 0.0000 0.0000 0.0000
Ni2 0.5000 0.5000 0.5000
Hg1 0.0000 0.5000 0.7535
Hg2 0.5000 0.0000 0.2535
Mo1 0.0000 0.0000 0.5375
Mo2 0.0000 0.5000 0.2653
Mo3 0.5000 0.0000 0.7653
Mo4 0.5000 0.5000 0.0375

No. 4
VASP calculation (PBE) on crystalline NiHgMo2 at its relaxed geometry.

electronic total energy = -6.46 eV per atom
DFT formation energy = 11.03 kcal/mol of atoms

Cell: 2.8040 2.8040 28.1371 Å, 90.00 90.00 120.00°
Fractional positions:
Ni1 0.0000 0.0000 0.0000
Ni2 0.3333 0.6667 0.6667
Ni3 0.6667 0.3333 0.3333
Hg1 0.0000 0.0000 0.5000
Hg2 0.3333 0.6667 0.1667
Hg3 0.6667 0.3333 0.8333
Mo1 0.0000 0.0000 0.2585
Mo2 0.0000 0.0000 0.7415
Mo3 0.3333 0.6667 0.4081
Mo4 0.3333 0.6667 0.9252
Mo5 0.6667 0.3333 0.0748
Mo6 0.6667 0.3333 0.5919

- What is the formula in the first record?
  NiHgMo2

Repeat the second record exactly.
VASP calculation (PBE) on crystalline NiHgMo2 at its relaxed geometry.

electronic total energy = -6.52 eV per atom
DFT formation energy = 9.70 kcal/mol of atoms

Cell: 9.2540 2.7294 5.0938 Å, 90.00 98.75 90.00°
Fractional positions:
Ni1 0.0000 0.0000 0.0000
Ni2 0.5000 0.5000 0.0000
Hg1 0.2489 0.0000 0.7595
Hg2 0.7489 0.5000 0.7595
Mo1 0.2277 0.5000 0.2428
Mo2 0.4906 0.0000 0.4691
Mo3 0.7277 0.0000 0.2428
Mo4 0.9906 0.5000 0.4691